# 1
An optimized crystal structure of BeVOs, computed with GGA-PBE.

abc: 2.996 2.996 8.102
angles: 90.00 90.00 90.00
Space group I4mm (No. 107)
One atom of each set of equivalent atoms:
Be  0.000  0.000  0.000
V  0.000  0.000  0.672
Os  0.000  0.000  0.347

Output
excess energy over the best structure of this formula in the dataset: 0.117 eV per atom
DOS(E_F): 4.36 states/eV/cell
energy relative to the elements: -0.24 eV per atom
total moment: 0.6 μB/f.u.
calculated volume: 72.7 Å³ per cell

=====

# 2
An optimized crystal structure of YbTi2CdO6F, computed with GGA-PBE.

abc: 7.129 7.381 10.185
angles: 90.00 90.00 90.00
Space group Imma (No. 74)
One atom of each set of equivalent atoms:
Yb  0.000  0.000  0.000
Ti  0.000  0.000  0.500
Ti  0.250  0.250  0.250
Cd  0.250  0.250  0.750
O  0.000  0.250  0.169
O  0.000  0.250  0.582
O  0.206  0.052  0.377
F  0.000  0.250  0.881

Output
DOS(E_F): 53.53 states/eV/cell
E_form (uncorrected): -2774 kJ/mol of formula units
total moment: 1.0 μB/f.u.
calculated volume: 535.9 Å³ per cell

=====

# 3
An optimized crystal structure of AlIrSCl2, computed with GGA-PBE.

abc: 5.116 5.116 4.420
angles: 90.00 90.00 90.00
Space group P4/mmm (No. 123)
One atom of each set of equivalent atoms:
Al  0.000  0.000  0.000
Ir  0.500  0.500  0.500
S  0.500  0.500  0.000
Cl  0.000  0.500  0.500

Output
excess energy over the best structure of this formula in the dataset: 0.000 eV per atom
DOS(E_F): 2.99 states/eV/cell
E_form (uncorrected): 45 kJ/mol of formula units
total moment: 0.0 μB/f.u.
calculated volume: 115.7 Å³ per cell

=====

# 4
An optimized crystal structure of KMgNb2H, computed with GGA-PBE.

abc: 4.718 4.718 5.410
angles: 90.00 90.00 90.00
Space group P4/mmm (No. 123)
One atom of each set of equivalent atoms:
K  0.000  0.000  0.000
Mg  0.000  0.000  0.500
Nb  0.000  0.500  0.000
H  0.500  0.500  0.500

Output
E: -11.4 eV/cell
DOS(E_F): 5.96 states/eV/cell
total moment: 0.0 μB/f.u.
calculated volume: 120.4 Å³ per cell

=====

# 5
An optimized crystal structure of Er5Te4S, computed with GGA-PBE.

abc: 4.144 4.144 31.541
angles: 90.00 90.00 90.00
Space group I4/mmm (No. 139)
One atom of each set of equivalent atoms:
Er  0.000  0.000  0.000
Er  0.000  0.000  0.214
Er  0.000  0.000  0.418
Te  0.000  0.000  0.101
Te  0.000  0.000  0.312
S  0.000  0.000  0.500

Output
DOS(E_F): 6.57 states/eV/cell
E_form (uncorrected): -1306 kJ/mol of formula units
total moment: 0.0 μB/f.u.
calculated volume: 541.5 Å³ per cell

=====

# 6
An optimized crystal structure of V6Co5Os, computed with GGA-PBE.

abc: 4.143 5.830 12.409
angles: 90.00 90.00 90.00
Space group Immm (No. 71)
One atom of each set of equivalent atoms:
V  0.000  0.243  0.000
V  0.000  0.254  0.330
Co  0.000  0.000  0.166
Co  0.000  0.500  0.165
Co  0.000  0.500  0.500
Os  0.000  0.000  0.500

Output
DOS(E_F): 18.03 states/eV/cell
energy relative to the elements: -0.12 eV per atom
total moment: 10.2 μB/f.u.
calculated volume: 299.7 Å³ per cell

=====

# 7
An optimized crystal structure of PrNbI2, computed with GGA-PBE.

abc: 3.6853 3.6853 31.0979
angles: 90.00 90.00 120.00
Space group R-3m (No. 166, hexagonal axes)
One atom of each set of equivalent atoms:
Pr  0.0000  0.0000  0.0000
Nb  0.0000  0.0000  0.5000
I  0.0000  0.0000  0.4109

Output
DOS(E_F): 12.16 states/eV/cell
E_form (uncorrected): 26 kJ/mol of formula units
total moment: 1.4 μB/f.u.
calculated volume: 365.8 Å³ per cell

=====

# 8
An optimized crystal structure of MnFePtW, computed with GGA-PBE.

abc: 6.082 6.082 6.082
angles: 90.00 90.00 90.00
Space group F-43m (No. 216)
One atom of each set of equivalent atoms:
Mn  0.000  0.000  0.000
Fe  0.000  0.000  0.500
Pt  0.250  0.250  0.250
W  0.250  0.250  0.750

Output
DOS(E_F): 15.88 states/eV/cell
energy relative to the elements: 0.00 eV per atom
total moment: 5.6 μB/f.u.
calculated volume: 224.9 Å³ per cell

=====

# 9
An optimized crystal structure of Bi2HPd6Pb, computed with GGA-PBE.

abc: 5.663 8.964 7.501
angles: 90.00 90.00 90.00
Space group Pmmn (No. 59, origin choice 2)
One atom of each set of equivalent atoms:
Bi  0.250  0.013  0.242
H  0.250  0.250  0.837
Pd  0.004  0.750  0.970
Pd  0.007  0.250  0.655
Pd  0.250  0.018  0.861
Pb  0.250  0.750  0.651

Output
E: -94.8 eV/cell
DOS(E_F): 10.97 states/eV/cell
total moment: 0.0 μB/f.u.
calculated volume: 380.8 Å³ per cell

=====

# 10
An optimized crystal structure of SmErN, computed with GGA-PBE.

abc: 4.661 4.661 7.722
angles: 90.00 90.00 90.00
Space group I4mm (No. 107)
One atom of each set of equivalent atoms:
Sm  0.000  0.000  0.000
Er  0.000  0.000  0.537
N  0.000  0.000  0.274

Output
excess energy over the best structure of this formula in the dataset: 1.182 eV per atom
DOS(E_F): 3.50 states/eV/cell
E_form (uncorrected): 55 kJ/mol of formula units
total moment: 0.0 μB/f.u.
calculated volume: 167.8 Å³ per cell

=====

# 11
An optimized crystal structure of La2ScCoHg, computed with GGA-PBE.

abc: 5.256 5.256 5.009
angles: 90.00 90.00 90.00
Space group P4/mmm (No. 123)
One atom of each set of equivalent atoms:
La  0.000  0.500  0.000
Sc  0.000  0.000  0.500
Co  0.000  0.000  0.000
Hg  0.500  0.500  0.500

Output
DOS(E_F): 5.42 states/eV/cell
energy relative to the elements: -0.20 eV per atom
total moment: 0.0 μB/f.u.
calculated volume: 138.4 Å³ per cell

=====

# 12
An optimized crystal structure of Ho7Ag2Rh2, computed with GGA-PBE.

abc: 3.751 15.669 9.588
angles: 90.00 90.00 90.00
Space group Imm2 (No. 44)
One atom of each set of equivalent atoms:
Ho  0.000  0.000  0.000
Ho  0.000  0.124  0.577
Ho  0.000  0.316  0.380
Ho  0.000  0.357  0.734
Ag  0.000  0.000  0.329
Ag  0.000  0.500  0.241
Rh  0.000  0.243  0.082

Output
excess energy over the best structure of this formula in the dataset: 0.000 eV per atom
DOS(E_F): 25.10 states/eV/cell
energy relative to the elements: -0.45 eV per atom
total moment: 0.0 μB/f.u.
calculated volume: 563.5 Å³ per cell

=====

# 13
An optimized crystal structure of LiTbHg, computed with GGA-PBE.

abc: 7.1586 7.1586 4.7583
angles: 90.00 90.00 120.00
Space group P-62m (No. 189)
One atom of each set of equivalent atoms:
Li  0.0000  0.7681  0.0000
Tb  0.0000  0.4263  0.5000
Hg  0.0000  0.0000  0.5000
Hg  0.3333  0.6667  0.0000

Output
excess energy over the best structure of this formula in the dataset: 0.000 eV per atom
DOS(E_F): 7.51 states/eV/cell
energy relative to the elements: -0.36 eV per atom
total moment: 0.0 μB/f.u.
calculated volume: 211.2 Å³ per cell

=====

# 14
An optimized crystal structure of CeYAgAu, computed with GGA-PBE.

abc: 3.603 3.603 7.603
angles: 90.00 90.00 90.00
Space group P4mm (No. 99)
One atom of each set of equivalent atoms:
Ce  0.000  0.000  0.000
Y  0.000  0.000  0.488
Ag  0.500  0.500  0.725
Au  0.500  0.500  0.262

Output
excess energy over the best structure of this formula in the dataset: 0.000 eV per atom
DOS(E_F): 7.87 states/eV/cell
energy relative to the elements: -0.46 eV per atom
total moment: 1.2 μB/f.u.
calculated volume: 98.7 Å³ per cell

=====

# 15
An optimized crystal structure of CsSrZnBr5, computed with GGA-PBE.

abc: 10.033 13.324 10.867
angles: 90.00 114.43 90.00
Space group C2/c (No. 15)
One atom of each set of equivalent atoms:
Cs  0.000  0.150  0.250
Sr  0.000  0.500  0.000
Zn  0.000  0.188  0.750
Br  0.000  0.413  0.250
Br  0.109  0.288  0.626
Br  0.179  0.079  0.923

Output
DOS(E_F): 0.00 states/eV/cell
E_form (uncorrected): -1222 kJ/mol of formula units
total moment: 0.0 μB/f.u.
calculated volume: 1322.7 Å³ per cell

=====

# 16
An optimized crystal structure of Pm4DyY2Mg, computed with GGA-PBE.

abc: 5.047 5.047 10.079
angles: 90.00 90.00 90.00
Space group P4/mmm (No. 123)
One atom of each set of equivalent atoms:
Pm  0.000  0.500  0.247
Dy  0.000  0.000  0.500
Y  0.000  0.000  0.000
Y  0.500  0.500  0.500
Mg  0.500  0.500  0.000

Output
DOS(E_F): 10.80 states/eV/cell
energy relative to the elements: 0.01 eV per atom
total moment: 0.0 μB/f.u.
calculated volume: 256.8 Å³ per cell

=====

# 17
An optimized crystal structure of Na4Tb3ScS8, computed with GGA-PBE.

abc: 7.8962 7.8962 20.0193
angles: 90.00 90.00 120.00
Space group R-3m (No. 166, hexagonal axes)
One atom of each set of equivalent atoms:
Na  0.0000  0.0000  0.0000
Na  0.0000  0.5000  0.0000
Tb  0.0000  0.5000  0.5000
Sc  0.0000  0.0000  0.5000
S  0.0000  0.0000  0.2432
S  0.0120  0.5060  0.2409

Output
DOS(E_F): 0.00 states/eV/cell
E_form (uncorrected): -2796 kJ/mol of formula units
total moment: 0.0 μB/f.u.
calculated volume: 1081.0 Å³ per cell

=====

# 18
An optimized crystal structure of Mg2BeOs, computed with GGA-PBE.

abc: 3.105 4.662 8.681
angles: 90.00 90.00 90.00
Space group Cmm2 (No. 35)
One atom of each set of equivalent atoms:
Mg  0.000  0.000  0.000
Mg  0.000  0.500  0.311
Be  0.000  0.000  0.559
Os  0.000  0.500  0.745

Output
DOS(E_F): 3.34 states/eV/cell
energy relative to the elements: 0.26 eV per atom
total moment: 0.0 μB/f.u.
calculated volume: 125.7 Å³ per cell

=====

# 19
An optimized crystal structure of Ti5Mn4Al, computed with GGA-PBE.

abc: 3.023 3.023 15.197
angles: 90.00 90.00 90.00
Space group P4/mmm (No. 123)
One atom of each set of equivalent atoms:
Ti  0.000  0.000  0.000
Ti  0.000  0.000  0.195
Ti  0.000  0.000  0.383
Mn  0.500  0.500  0.097
Mn  0.500  0.500  0.297
Al  0.500  0.500  0.500

Output
DOS(E_F): 8.92 states/eV/cell
energy relative to the elements: -0.30 eV per atom
total moment: 1.6 μB/f.u.
calculated volume: 138.9 Å³ per cell

=====

# 20
An optimized crystal structure of Cr3Rh, computed with GGA-PBE.

abc: 5.981 8.326 3.992
angles: 90.00 90.00 90.00
Space group Cmcm (No. 63)
One atom of each set of equivalent atoms:
Cr  0.000  0.151  0.250
Cr  0.206  0.103  0.750
Rh  0.000  0.382  0.750

Output
excess energy over the best structure of this formula in the dataset: 0.047 eV per atom
DOS(E_F): 19.19 states/eV/cell
energy relative to the elements: 0.09 eV per atom
total moment: 0.0 μB/f.u.
calculated volume: 198.8 Å³ per cell